Computed, not measured: crystalline CaGe7Ir3 at its relaxed geometry at the PBE level of DFT.

Calculated values
The total magnetization is 0.00 μB/f.u. For the raw total energy, the calculation gives -131.1 eV for the cell shown.

Unit cell a=8.365 b=8.365 c=8.365 alpha=56.68 beta=56.68 gamma=56.68
Atoms (fractional coordinates):
Ca 0.000 0.000 0.000
Ca 0.500 0.500 0.500
Ge 0.074 0.850 0.668
Ge 0.150 0.332 0.926
Ge 0.168 0.350 0.574
Ge 0.250 0.250 0.250
Ge 0.332 0.926 0.150
Ge 0.350 0.574 0.168
Ge 0.426 0.832 0.650
Ge 0.574 0.168 0.350
Ge 0.650 0.426 0.832
Ge 0.668 0.074 0.850
Ge 0.750 0.750 0.750
Ge 0.832 0.650 0.426
Ge 0.850 0.668 0.074
Ge 0.926 0.150 0.332
Ir 0.069 0.750 0.431
Ir 0.250 0.569 0.931
Ir 0.431 0.069 0.750
Ir 0.569 0.931 0.250
Ir 0.750 0.431 0.069
Ir 0.931 0.250 0.569